{
  "formula": "LiVGaTc",
  "functional": "GGA-PBE",
  "state": "optimized geometry",
  "mass_density_g_cm3": 6.8,
  "dos_at_fermi_per_ev_fu": 3.5,
  "crystal_system": "cubic",
  "energy_ev_per_atom": -6.206,
  "magnetic_moment_mub_per_fu": 0.0,
  "lattice": [[-3.944, 0.570, 1.515], [-2.925, -3.067, -0.462], [-1.320, -2.215, 3.395]],
  "species": ["Li", "Ga", "V", "Tc"],
  "frac_coords": [[0.500, 0.500, 0.500], [0.250, 0.250, 0.250], [0.750, 0.750, 0.750], [0.000, 0.000, 0.000]]
}